A plane-wave DFT calculation with PBE was carried out for a relaxed structure of LiHf2Bi.

The structure in POSCAR format:
```
LiHf2Bi
1.0
7.0635 0.0000 0.0000
0.0000 7.0635 0.0000
0.0000 0.0000 7.0635
Li Hf Bi
4 8 4
direct
0.0000 0.0000 0.0000
0.0000 0.5000 0.5000
0.5000 0.0000 0.5000
0.5000 0.5000 0.0000
0.0000 0.0000 0.5000
0.0000 0.5000 0.0000
0.2500 0.2500 0.2500
0.2500 0.7500 0.7500
0.5000 0.0000 0.0000
0.5000 0.5000 0.5000
0.7500 0.2500 0.7500
0.7500 0.7500 0.2500
0.2500 0.2500 0.7500
0.2500 0.7500 0.2500
0.7500 0.2500 0.2500
0.7500 0.7500 0.7500
```

The size of the total moment is 0.43 μB per atom. For the calculated volume, the calculation gives 352.43 Å³/cell. The density comes out at 10.8 g/cm³. As for the symmetry: No. 216. The total energy comes out at -6.1632 eV per atom.